OsRh: relaxed, PBEsol.

a b c (Å): 4.292 4.697 5.424
angles (deg): 90.00 90.00 90.00
Sites, in units of the cell vectors:
Rh (0.750, 0.413, 0.122)
Os (0.250, 0.578, 0.374)
Os (0.250, 0.078, 0.126)
Rh (0.750, 0.913, 0.378)
Rh (0.250, 0.587, 0.878)
Rh (0.250, 0.087, 0.622)
Os (0.750, 0.422, 0.626)
Os (0.750, 0.922, 0.874)

Properties
Total moment ... 0.0 μB/f.u.
ρ ... 17.80 g/cm3
ΔE_f ... 27 meV/atom
V ... 109 Å³ per cell
SG ... Pnma, No. 62